A plane-wave DFT calculation with PBE was carried out for Hf2NiPd3 after structural relaxation.

## Properties
space-group type: P4mm
total DFT energy (no corrections): -7.55 eV/atom
E_form: -0.71 eV/atom

Cell lengths 3.3786, 3.3786, 8.6458 Å; angles 90.00, 90.00, 90.00 degrees
Closest atoms and distances in Å follow each position.
Fractional positions:
Ni (0.0000, 0.0000, 0.8375)  5 Hf 2.73-2.87, 5 Pd 2.73-2.78
Pd (0.5000, 0.5000, 0.6722)  5 Hf 2.75-2.79, 4 Ni 2.78, 1 Pd 2.86
Pd (0.0000, 0.0000, 0.1536)  1 Ni 2.73, 5 Hf 2.78-3.04, 4 Pd 2.89
Pd (0.5000, 0.5000, 0.3414)  5 Hf 2.78-3.04, 5 Pd 2.86-2.89
Hf (0.5000, 0.5000, 0.9901)  4 Ni 2.73, 6 Pd 2.75-3.04
Hf (0.0000, 0.0000, 0.5052)  9 Pd 2.78-3.04, 1 Ni 2.87

---

A plane-wave DFT calculation with PBE was carried out for HfZr2Ni2Sb4Pd2 after structural relaxation.

## Properties
space-group type: Pm
total DFT energy (no corrections): -6.51 eV/atom

Cell lengths 6.8835, 4.1345, 7.7741 Å; angles 90.00, 90.29, 90.00 degrees
Closest atoms and distances in Å follow each position.
Fractional positions:
Pd (0.8384, 0.0000, 0.4347)  4 Sb 2.68-2.89
Pd (0.1548, 0.5000, 0.5696)  4 Sb 2.60-2.76
Hf (0.4688, 0.0000, 0.7052)  3 Ni 2.79-2.92, 5 Sb 2.94-3.04
Sb (0.7556, 0.0000, 0.0772)  3 Ni 2.54-2.57, 1 Pd 2.83
Sb (0.2295, 0.5000, 0.8983)  1 Pd 2.60, 3 Ni 2.61-2.62, 1 Zr 2.80
Sb (0.7629, 0.5000, 0.6424)  1 Ni 2.57, 3 Pd 2.68-2.76
Sb (0.2519, 0.0000, 0.3695)  1 Ni 2.61, 3 Pd 2.67-2.89, 2 Zr 2.91
Ni (0.3823, 0.0000, 0.0554)  4 Sb 2.57-2.62, 2 Ni 2.72-2.73, 1 Hf 2.79
Ni (0.6051, 0.5000, 0.9414)  4 Sb 2.54-2.61, 2 Ni 2.72-2.73, 1 Zr 2.84
Zr (0.0142, 0.5000, 0.2023)  5 Sb 2.80-2.94, 3 Pd 3.00-3.01
Zr (0.5385, 0.5000, 0.3012)  3 Ni 2.84-3.01, 5 Sb 2.91-3.09, 2 Pd 3.10

---

A plane-wave DFT calculation with PBE was carried out for HfSiNiPd after structural relaxation.

## Properties
space-group type: F-43m
total DFT energy (no corrections): -7.11 eV/atom

Cell lengths 4.3787, 4.3787, 4.3787 Å; angles 60.00, 60.00, 60.00 degrees
Closest atoms and distances in Å follow each position.
Fractional positions:
Pd (0.2500, 0.2500, 0.2500)  4 Hf 2.68, 4 Si 2.68
Ni (0.7500, 0.7500, 0.7500)  4 Hf 2.68, 4 Si 2.68
Si (0.0000, 0.0000, 0.0000)  4 Ni 2.68, 4 Pd 2.68
Hf (0.5000, 0.5000, 0.5000)  4 Pd 2.68, 4 Ni 2.68

---

A plane-wave DFT calculation with PBE was carried out for HfSiNiPd after structural relaxation.

## Properties
space-group type: F-43m
total DFT energy (no corrections): -6.95 eV/atom

Cell lengths 4.3978, 4.3978, 4.3978 Å; angles 60.00, 60.00, 60.00 degrees
Closest atoms and distances in Å follow each position.
Fractional positions:
Si (0.0000, 0.0000, 0.0000)  4 Ni 2.69, 4 Hf 2.69
Pd (0.5000, 0.5000, 0.5000)  4 Hf 2.69, 4 Ni 2.69
Ni (0.7500, 0.7500, 0.7500)  4 Pd 2.69, 4 Si 2.69
Hf (0.2500, 0.2500, 0.2500)  4 Pd 2.69, 4 Si 2.69

---

A plane-wave DFT calculation with PBE was carried out for Hf2NiSn2Pd after structural relaxation.

## Properties
space-group type: Pm
total DFT energy (no corrections): -7.11 eV/atom

Cell lengths 7.6453, 4.4039, 14.6185 Å; angles 90.00, 99.86, 90.00 degrees
Closest atoms and distances in Å follow each position.
Fractional positions:
Sn (0.5618, 0.5000, 0.1873)  4 Pd 2.72-2.73
Sn (0.8156, 0.0000, 0.4441)  3 Ni 2.67-2.68, 1 Pd 2.75
Sn (0.3058, 0.0000, 0.9336)  2 Ni 2.67-2.68, 2 Pd 2.73
Sn (0.3134, 0.5000, 0.4437)  3 Ni 2.67-2.68, 1 Pd 2.75
Sn (0.0662, 0.5000, 0.6846)  3 Ni 2.64-2.68, 1 Pd 2.74
Sn (0.0627, 0.0000, 0.1835)  1 Ni 2.67, 3 Pd 2.72-2.74
Sn (0.5547, 0.0000, 0.6844)  2 Ni 2.64-2.67, 2 Pd 2.74
Sn (0.8188, 0.5000, 0.9376)  2 Ni 2.67, 2 Pd 2.72-2.73
Ni (0.0005, 0.5000, 0.5015)  4 Hf 2.63-2.69, 4 Sn 2.64-2.67
Ni (0.0002, 0.0000, 0.9981)  4 Hf 2.66-2.67, 4 Sn 2.67
Ni (0.4998, 0.0000, 0.5008)  4 Hf 2.62-2.70, 4 Sn 2.64-2.68
Ni (0.2474, 0.0000, 0.7478)  4 Hf 2.65-2.67, 4 Sn 2.67-2.68
Hf (0.6857, 0.5000, 0.5597)  3 Ni 2.68-2.69, 1 Pd 2.72
Hf (0.4397, 0.0000, 0.3186)  1 Ni 2.62, 3 Pd 2.72-2.73
Hf (0.9445, 0.0000, 0.8129)  2 Ni 2.65-2.67, 2 Pd 2.73
Hf (0.4282, 0.5000, 0.8078)  2 Ni 2.67, 2 Pd 2.73-2.74
Hf (0.1875, 0.0000, 0.5631)  4 Ni 2.66-2.70
Hf (0.1808, 0.5000, 0.0594)  2 Ni 2.67, 2 Pd 2.74-2.78
Hf (0.9399, 0.5000, 0.3186)  1 Ni 2.63, 3 Pd 2.71
Hf (0.6945, 0.0000, 0.0612)  1 Ni 2.66, 3 Pd 2.73-2.76
Pd (0.2499, 0.5000, 0.2526)  4 Hf 2.71-2.78, 4 Sn 2.72-2.75
Pd (0.7526, 0.0000, 0.2531)  4 Hf 2.71-2.76, 4 Sn 2.72-2.75
Pd (0.4996, 0.5000, 0.9975)  4 Sn 2.73, 4 Hf 2.73-2.74
Pd (0.7501, 0.5000, 0.7486)  4 Hf 2.72-2.74, 4 Sn 2.72-2.74

---

A plane-wave DFT calculation with PBE was carried out for HfTlNiPd after structural relaxation.

## Properties
space-group type: F-43m
total DFT energy (no corrections): -5.85 eV/atom

Cell lengths 4.6215, 4.6215, 4.6215 Å; angles 60.00, 60.00, 60.00 degrees
Closest atoms and distances in Å follow each position.
Fractional positions:
Pd (0.5000, 0.5000, 0.5000)  4 Ni 2.83, 4 Hf 2.83
Ni (0.7500, 0.7500, 0.7500)  4 Pd 2.83, 4 Tl 2.83
Tl (0.0000, 0.0000, 0.0000)  4 Hf 2.83, 4 Ni 2.83
Hf (0.2500, 0.2500, 0.2500)  4 Tl 2.83, 4 Pd 2.83